(1)
First-principles (PBE) data for a relaxed structure of Na2Al12ZnPd3, as listed in Alexandria.

Cell lengths 6.8870, 6.8870, 6.8870 Å; angles 85.44, 85.44, 85.44 degrees
With the nearest neighbours (Å) after each atom.
Fractional coordinates of all 18 atoms:
Na 0.5992 0.5992 0.5992  1 Na 2.55, 3 Al 2.81
Pd 0.0000 0.0000 0.5000  6 Al 2.60-2.65
Al 0.8031 0.2876 0.8031  1 Pd 2.60, 3 Al 2.64-2.77, 1 Zn 2.65, 1 Na 2.81
Pd 0.5000 0.0000 0.0000  6 Al 2.60-2.65
Al 0.9666 0.3746 0.3746  2 Al 2.63-2.64, 2 Pd 2.65
Na 0.4008 0.4008 0.4008  1 Na 2.55, 3 Al 2.81
Al 0.7124 0.1969 0.1969  1 Pd 2.60, 3 Al 2.64-2.77, 1 Zn 2.65, 1 Na 2.81
Zn 0.0000 0.0000 0.0000  6 Al 2.65
Al 0.6254 0.0334 0.6254  2 Al 2.63-2.64, 2 Pd 2.65
Al 0.1969 0.7124 0.1969  1 Pd 2.60, 3 Al 2.64-2.77, 1 Zn 2.65, 1 Na 2.81
Al 0.8031 0.8031 0.2876  1 Pd 2.60, 3 Al 2.64-2.77, 1 Zn 2.65, 1 Na 2.81
Al 0.6254 0.6254 0.0334  2 Al 2.63-2.64, 2 Pd 2.65
Pd 0.0000 0.5000 0.0000  6 Al 2.60-2.65
Al 0.0334 0.6254 0.6254  2 Al 2.63-2.64, 2 Pd 2.65
Al 0.3746 0.9666 0.3746  2 Al 2.63-2.64, 2 Pd 2.65
Al 0.2876 0.8031 0.8031  1 Pd 2.60, 3 Al 2.64-2.77, 1 Zn 2.65, 1 Na 2.81
Al 0.3746 0.3746 0.9666  2 Al 2.63-2.64, 2 Pd 2.65
Al 0.1969 0.1969 0.7124  1 Pd 2.60, 3 Al 2.64-2.77, 1 Zn 2.65, 1 Na 2.81

Output
Energy relative to the elements in eV per atom: -0.051

***

(2)
First-principles (PBE) data for a relaxed structure of NaPmAl, as listed in Alexandria.

Cell lengths 3.3911, 3.3897, 17.1315 Å; angles 90.00, 90.00, 120.01 degrees
With the nearest neighbours (Å) after each atom.
Fractional coordinates of all 6 atoms:
Na 0.6105 0.2210 0.3443  3 Al 3.31-3.32, 6 Na 3.39
Pm 0.2789 0.5579 0.8569  3 Al 3.14, 6 Pm 3.39
Na 0.6105 0.2210 0.6557  3 Al 3.31-3.32, 6 Na 3.39
Pm 0.2789 0.5579 0.1431  3 Al 3.14, 6 Pm 3.39
Al 0.2753 0.5506 0.5000  6 Na 3.31-3.32, 6 Al 3.39
Al 0.6124 0.2248 0.0000  6 Pm 3.14, 6 Al 3.39

Output
Energy relative to the elements in eV per atom: 0.137

***

(3)
First-principles (PBE) data for a relaxed structure of NaPm2Al, as listed in Alexandria.

Cell lengths 3.5569, 3.5569, 9.5003 Å; angles 90.00, 90.00, 90.00 degrees
With the nearest neighbours (Å) after each atom.
Fractional coordinates of all 4 atoms:
Pm 0.0000 0.0000 0.7972  4 Al 3.17
Al 0.5000 0.5000 0.0000  8 Pm 3.17
Na 0.5000 0.5000 0.5000  4 Na 3.56, 8 Pm 3.78
Pm 0.0000 0.0000 0.2028  4 Al 3.17

Output
Energy relative to the elements in eV per atom: -0.084

***

(4)
First-principles (PBE) data for a relaxed structure of Na2PmAl9, as listed in Alexandria.

Cell lengths 5.5933, 5.5933, 9.5179 Å; angles 72.91, 72.91, 60.00 degrees
With the nearest neighbours (Å) after each atom.
Fractional coordinates of all 12 atoms:
Al 0.9225 0.4154 0.2467  7 Al 2.72-2.84
Al 0.5846 0.5846 0.7533  7 Al 2.72-2.84
Na 0.8562 0.8562 0.4315  12 Al 3.25-3.29, 3 Na 3.45
Al 0.5000 0.5000 0.5000  6 Al 2.80
Na 0.1438 0.1438 0.5685  12 Al 3.25-3.29, 3 Na 3.45
Al 0.0775 0.5846 0.7533  7 Al 2.72-2.84
Al 0.5846 0.0775 0.7533  7 Al 2.72-2.84
Al 0.4154 0.4154 0.2467  7 Al 2.72-2.84
Al 0.6655 0.6655 0.0035  6 Al 2.72-2.75
Al 0.3345 0.3345 0.9965  6 Al 2.72-2.75
Al 0.4154 0.9225 0.2467  7 Al 2.72-2.84
Pm 0.0000 0.0000 0.0000  18 Al 3.23-3.56

Output
Energy relative to the elements in eV per atom: -0.093

***

(5)
First-principles (PBE) data for a relaxed structure of NaPm2Al, as listed in Alexandria.

Cell lengths 3.9506, 5.3365, 5.3365 Å; angles 90.00, 90.00, 90.00 degrees
With the nearest neighbours (Å) after each atom.
Fractional coordinates of all 4 atoms:
Na 0.5000 0.0000 0.0000  8 Pm 3.32
Pm 0.0000 0.5000 0.0000  4 Na 3.32, 4 Al 3.32
Pm 0.0000 0.0000 0.5000  4 Na 3.32, 4 Al 3.32
Al 0.5000 0.5000 0.5000  8 Pm 3.32

Output
Energy relative to the elements in eV per atom: -0.014

***

(6)
First-principles (PBE) data for a relaxed structure of NaPm2Al, as listed in Alexandria.

Cell lengths 3.6126, 3.6126, 11.9522 Å; angles 81.31, 81.31, 60.00 degrees
With the nearest neighbours (Å) after each atom.
Fractional coordinates of all 4 atoms:
Na 0.0000 0.0000 0.0000  6 Na 3.61, 2 Pm 3.65
Al 0.5000 0.5000 0.5000  6 Pm 3.06
Pm 0.8967 0.8967 0.3099  3 Al 3.06
Pm 0.1033 0.1033 0.6901  3 Al 3.06

Output
Energy relative to the elements in eV per atom: 0.067

***

(7)
First-principles (PBE) data for a relaxed structure of NaPmAl4, as listed in Alexandria.

Cell lengths 5.6296, 5.6296, 5.6296 Å; angles 60.00, 60.00, 60.00 degrees
With the nearest neighbours (Å) after each atom.
Fractional coordinates of all 6 atoms:
Pm 0.0000 0.0000 0.0000  12 Al 3.30, 4 Na 3.45
Al 0.6257 0.1229 0.6257  6 Al 2.80-2.83
Na 0.2500 0.2500 0.2500  12 Al 3.30, 4 Pm 3.45
Al 0.1229 0.6257 0.6257  6 Al 2.80-2.83
Al 0.6257 0.6257 0.1229  6 Al 2.80-2.83
Al 0.6257 0.6257 0.6257  6 Al 2.80-2.83

Output
Energy relative to the elements in eV per atom: -0.225

***

(8)
First-principles (PBE) data for a relaxed structure of NaPm5Al4, as listed in Alexandria.

Cell lengths 3.6686, 3.6686, 20.1684 Å; angles 90.00, 90.00, 90.00 degrees
With the nearest neighbours (Å) after each atom.
Fractional coordinates of all 10 atoms:
Pm 0.5000 0.5000 0.5000  8 Al 3.19
Na 0.0000 0.0000 0.0000  4 Na 3.67, 8 Pm 3.70
Al 0.0000 0.0000 0.7810  8 Pm 3.14-3.25
Pm 0.5000 0.5000 0.8689  4 Al 3.14
Al 0.0000 0.0000 0.2190  8 Pm 3.14-3.25
Al 0.0000 0.0000 0.4076  8 Pm 3.19
Al 0.0000 0.0000 0.5924  8 Pm 3.19
Pm 0.5000 0.5000 0.1311  4 Al 3.14
Pm 0.5000 0.5000 0.6843  8 Al 3.19-3.25
Pm 0.5000 0.5000 0.3157  8 Al 3.19-3.25

Output
Energy relative to the elements in eV per atom: -0.261

***

(9)
First-principles (PBE) data for a relaxed structure of NaPmPrAl, as listed in Alexandria.

Cell lengths 5.4387, 5.4387, 5.4387 Å; angles 60.00, 60.00, 60.00 degrees
With the nearest neighbours (Å) after each atom.
Fractional coordinates of all 4 atoms:
Al 0.5000 0.5000 0.5000  4 Pm 3.33, 4 Pr 3.33
Pm 0.7500 0.7500 0.7500  4 Na 3.33, 4 Al 3.33
Pr 0.2500 0.2500 0.2500  4 Na 3.33, 4 Al 3.33
Na 0.0000 0.0000 0.0000  4 Pr 3.33, 4 Pm 3.33

Output
Energy relative to the elements in eV per atom: -0.058

***

(10)
First-principles (PBE) data for a relaxed structure of Na3Pm2AlSe6, as listed in Alexandria.

Cell lengths 7.1403, 7.1403, 7.4054 Å; angles 99.32, 99.32, 120.05 degrees
With the nearest neighbours (Å) after each atom.
Fractional coordinates of all 12 atoms:
Al 0.0000 0.0000 0.0000  6 Se 2.64-2.68
Se 0.6201 0.9248 0.7752  1 Al 2.68, 2 Pm 2.94-2.95, 2 Na 2.99-3.00
Na 0.5000 0.5000 0.5000  6 Se 2.99-3.28
Na 0.8316 0.1684 0.5000  6 Se 3.00-3.21
Se 0.0752 0.3799 0.2248  1 Al 2.68, 2 Pm 2.94-2.95, 2 Na 2.99-3.00
Se 0.9248 0.6201 0.7752  1 Al 2.68, 2 Pm 2.94-2.95, 2 Na 2.99-3.00
Se 0.3799 0.0752 0.2248  1 Al 2.68, 2 Pm 2.94-2.95, 2 Na 2.99-3.00
Se 0.7733 0.7733 0.2190  1 Al 2.64, 2 Pm 2.94
Pm 0.6667 0.3333 0.0000  6 Se 2.94-2.95
Pm 0.3333 0.6667 0.0000  6 Se 2.94-2.95
Na 0.1684 0.8316 0.5000  6 Se 3.00-3.21
Se 0.2267 0.2267 0.7810  1 Al 2.64, 2 Pm 2.94

Output
Formation energy without anion corrections in eV/f.u.: -16.92

***

(11)
First-principles (PBE) data for a relaxed structure of NaPmSmAl, as listed in Alexandria.

Cell lengths 5.3922, 5.3922, 5.3922 Å; angles 60.00, 60.00, 60.00 degrees
With the nearest neighbours (Å) after each atom.
Fractional coordinates of all 4 atoms:
Na 0.7500 0.7500 0.7500  4 Sm 3.30, 4 Pm 3.30
Pm 0.5000 0.5000 0.5000  4 Al 3.30, 4 Na 3.30
Al 0.2500 0.2500 0.2500  4 Pm 3.30, 4 Sm 3.30
Sm 0.0000 0.0000 0.0000  4 Na 3.30, 4 Al 3.30

Output
Energy relative to the elements in eV per atom: -0.053

***

(12)
First-principles (PBE) data for a relaxed structure of Na2PmAlSn2, as listed in Alexandria.

Cell lengths 4.6022, 7.7151, 9.2556 Å; angles 90.00, 90.00, 90.00 degrees
With the nearest neighbours (Å) after each atom.
Fractional coordinates of all 12 atoms:
Na 0.5000 0.0262 0.0816  3 Sn 3.30-3.36, 4 Na 3.41-3.48, 1 Al 3.66
Sn 0.5000 0.2809 0.3754  2 Al 2.86-2.95, 2 Na 3.11
Pm 0.0000 0.4960 0.5481  5 Sn 3.20-3.26, 2 Al 3.29
Al 0.5000 0.6595 0.3328  4 Sn 2.78-2.95
Na 0.5000 0.5262 0.9184  3 Sn 3.30-3.36, 4 Na 3.41-3.48, 1 Al 3.66
Sn 0.0000 0.7427 0.1785  2 Al 2.78, 1 Na 3.11
Na 0.0000 0.3403 0.1541  4 Sn 3.11-3.17, 4 Na 3.41-3.48
Al 0.5000 0.1595 0.6672  4 Sn 2.78-2.95
Sn 0.0000 0.2427 0.8215  2 Al 2.78, 1 Na 3.11
Pm 0.0000 0.9960 0.4519  5 Sn 3.20-3.26, 2 Al 3.29
Sn 0.5000 0.7809 0.6246  2 Al 2.86-2.95, 2 Na 3.11
Na 0.0000 0.8403 0.8459  4 Sn 3.11-3.17, 4 Na 3.41-3.48

Output
Energy relative to the elements in eV per atom: -0.372

***

no.,VASP energy (eV for the cell shown)
1,-65.33
2,-18.80
3,-14.90
4,-42.19
5,-14.62
6,-14.29
7,-22.39
8,-42.65
9,-14.82
10,-55.03
11,-14.74
12,-42.73